! KMnAs2F | Alexandria | PBE+U | optimized geometry; values from VASP
&SYSTEM
  ibrav = 0, nat = 5, ntyp = 4
/
ATOMIC_SPECIES
K 39.10 K.upf
F 19.00 F.upf
As 74.92 As.upf
Mn 54.94 Mn.upf
ATOMIC_POSITIONS crystal
K 0.000 0.500 0.000
F 0.500 0.500 0.500
As 0.000 0.000 0.500
As 0.500 0.000 0.000
Mn 0.000 0.000 0.000
CELL_PARAMETERS angstrom
4.592 0.000 0.000
0.000 7.729 0.000
0.000 0.000 4.592
! N(E_F) = 1.101 states/eV per cell
! space-group type = P4/mmm (123)
! crystal system = tetragonal
! theoretical density = 2.679 g cm⁻³
! E_tot = -21.22 eV per cell